Entry 1:
Entry from Alexandria via LeMat-Bulk: a relaxed structure of Pm8Sn3Te4Se (PBE-GGA).

Structure (CIF):
```
data_Pm8Sn3Te4Se
_chemical_formula_sum 'Pm8 Sn3 Te4 Se1'
_symmetry_space_group_name_H-M 'P 1'
_symmetry_Int_Tables_number 1
_cell_length_a 8.9407
_cell_length_b 8.9407
_cell_length_c 8.9407
_cell_angle_alpha 59.73
_cell_angle_beta 59.73
_cell_angle_gamma 59.73
loop_
_symmetry_equiv_pos_as_xyz
'x,y,z'
loop_
_atom_site_label
_atom_site_type_symbol
_atom_site_fract_x
_atom_site_fract_y
_atom_site_fract_z
Pm1 Pm 0.2472 0.2472 0.2472
Pm2 Pm 0.2472 0.7443 0.7443
Pm3 Pm 0.2557 0.2557 0.7528
Pm4 Pm 0.2557 0.7528 0.2557
Pm5 Pm 0.7443 0.2472 0.7443
Pm6 Pm 0.7443 0.7443 0.2472
Pm7 Pm 0.7528 0.2557 0.2557
Pm8 Pm 0.7528 0.7528 0.7528
Sn1 Sn 0.0000 0.0000 0.5000
Sn2 Sn 0.0000 0.5000 0.0000
Sn3 Sn 0.5000 0.0000 0.0000
Te1 Te 0.0000 0.0000 0.0000
Te2 Te 0.0000 0.5000 0.5000
Te3 Te 0.5000 0.0000 0.5000
Te4 Te 0.5000 0.5000 0.0000
Se1 Se 0.5000 0.5000 0.5000
```

Values from the calculation:
energy relative to the elements, uncorrected	-20.22	eV/f.u.

Entry 2:
Entry from Alexandria via LeMat-Bulk: a relaxed structure of Sr2PuNbN5 (PBE-GGA).

Structure (CIF):
```
data_Sr2PuNbN5
_chemical_formula_sum 'Sr4 Pu2 Nb2 N10'
_symmetry_space_group_name_H-M 'P 1'
_symmetry_Int_Tables_number 1
_cell_length_a 7.0347
_cell_length_b 7.0347
_cell_length_c 12.1401
_cell_angle_alpha 90.00
_cell_angle_beta 90.00
_cell_angle_gamma 152.12
loop_
_symmetry_equiv_pos_as_xyz
'x,y,z'
loop_
_atom_site_label
_atom_site_type_symbol
_atom_site_fract_x
_atom_site_fract_y
_atom_site_fract_z
Sr1 Sr 0.0852 0.9148 0.5000
Sr2 Sr 0.1600 0.8400 0.1301
Sr3 Sr 0.8400 0.1600 0.6301
Sr4 Sr 0.9148 0.0852 0.0000
Pu1 Pu 0.4663 0.5337 0.2739
Pu2 Pu 0.5337 0.4663 0.7739
Nb1 Nb 0.2302 0.7698 0.8652
Nb2 Nb 0.7698 0.2302 0.3652
N1 N 0.0661 0.9339 0.8759
N2 N 0.2655 0.7345 0.4673
N3 N 0.3157 0.6843 0.2438
N4 N 0.3719 0.6281 0.8220
N5 N 0.4908 0.5092 0.6216
N6 N 0.5092 0.4908 0.1216
N7 N 0.6281 0.3719 0.3220
N8 N 0.6843 0.3157 0.7438
N9 N 0.7345 0.2655 0.9673
N10 N 0.9339 0.0661 0.3759
```

Values from the calculation:
energy relative to the elements, uncorrected	-7.02	eV/f.u.

Entry 3:
Entry from Alexandria via LeMat-Bulk: a relaxed structure of AcMg2 (PBE-GGA).

Structure (CIF):
```
data_AcMg2
_chemical_formula_sum 'Ac2 Mg4'
_symmetry_space_group_name_H-M 'P 1'
_symmetry_Int_Tables_number 1
_cell_length_a 3.6996
_cell_length_b 3.6996
_cell_length_c 13.5418
_cell_angle_alpha 90.00
_cell_angle_beta 90.00
_cell_angle_gamma 90.00
loop_
_symmetry_equiv_pos_as_xyz
'x,y,z'
loop_
_atom_site_label
_atom_site_type_symbol
_atom_site_fract_x
_atom_site_fract_y
_atom_site_fract_z
Ac1 Ac 0.0000 0.0000 0.0000
Ac2 Ac 0.5000 0.5000 0.5000
Mg1 Mg 0.0000 0.0000 0.3142
Mg2 Mg 0.0000 0.0000 0.6858
Mg3 Mg 0.5000 0.5000 0.1858
Mg4 Mg 0.5000 0.5000 0.8142
```

Values from the calculation:
ΔE_f	-0.03	eV/f.u.

Number 1: total DFT energy (no corrections) -5.3927 eV per atom, total magnetic moment 0.000 μB per atom. Number 2: total DFT energy (no corrections) -8.4899 eV per atom, total magnetic moment 0.221 μB per atom. Number 3: total DFT energy (no corrections) -2.4422 eV per atom, total magnetic moment 0.001 μB per atom.